[1]
Below is a relaxed structure of TbAgSnRh, with properties calculated at the GGA-PBE level.

Output
Density of states at the Fermi level, states/eV per cell: 3.2
Total moment, Bohr magnetons per cell: 0.0
Final energy, eV per atom: -5.226
Symmetry: F-43m

Lattice parameters (Å, degrees): 4.840 4.840 4.840 60.00 60.00 60.00
Element x y z (fractional)
1 Rh 0.000 0.000 0.000
2 Tb 0.750 0.750 0.750
3 Sn 0.250 0.250 0.250
4 Ag 0.500 0.500 0.500


[2]
Below is a relaxed structure of TiTe2Pd9, with properties calculated at the GGA-PBE level.

Output
Density of states at the Fermi level, states/eV per cell: 10.5
Total moment, Bohr magnetons per cell: 0.0
Final energy, eV per atom: -5.408
ΔE_f (raw), eV per atom: -0.3317
Symmetry: P4/mmm

Lattice parameters (Å, degrees): 3.998 3.998 12.453 90.00 90.00 90.00
Element x y z (fractional)
1 Ti 0.000 0.000 0.000
2 Te 0.000 0.000 0.337
3 Te 0.000 0.000 0.663
4 Pd 0.500 0.500 0.000
5 Pd 0.500 0.500 0.318
6 Pd 0.500 0.500 0.682
7 Pd 0.500 0.000 0.151
8 Pd 0.500 0.000 0.500
9 Pd 0.500 0.000 0.849
10 Pd 0.000 0.500 0.151
11 Pd 0.000 0.500 0.500
12 Pd 0.000 0.500 0.849


[3]
Below is a relaxed structure of YMnB3, with properties calculated at the GGA-PBE level.

Output
Density of states at the Fermi level, states/eV per cell: 3.2
Total moment, Bohr magnetons per cell: 4.0
Final energy, eV per atom: -4.854
Relative energy among the computed polymorphs, meV/atom: 2361.4
Symmetry: Pm-3m

Lattice parameters (Å, degrees): 4.522 4.522 4.522 90.00 90.00 90.00
Each line ends with the local moment (μB).
Element x y z (fractional)
1 Y 0.000 0.000 0.000  -0.13
2 B 0.000 0.500 0.000  -0.11
3 B 0.000 0.000 0.500  -0.04
4 B 0.500 0.000 0.000  -0.04
5 Mn 0.500 0.500 0.500  4.28


[4]
Below is a relaxed structure of NaGaH4, with properties calculated at the GGA-PBE level.

Output
Density of states at the Fermi level, states/eV per cell: 0.0
Total moment, Bohr magnetons per cell: 0.0
Final energy, eV per atom: -3.079
Symmetry: Cmcm

Lattice parameters (Å, degrees): 4.694 4.694 7.042 90.00 90.00 95.36
Element x y z (fractional)
1 Na 0.344 0.344 0.250
2 Na 0.656 0.656 0.750
3 Ga 0.842 0.842 0.250
4 Ga 0.158 0.158 0.750
5 H 0.823 0.194 0.750
6 H 0.177 0.806 0.250
7 H 0.194 0.823 0.750
8 H 0.806 0.177 0.250
9 H 0.690 0.690 0.431
10 H 0.310 0.310 0.931
11 H 0.690 0.690 0.069
12 H 0.310 0.310 0.569


[5]
Below is a relaxed structure of Ho6Zn3Tc, with properties calculated at the GGA-PBE level.

Output
Density of states at the Fermi level, states/eV per cell: 14.5
Total moment, Bohr magnetons per cell: 0.0
Final energy, eV per atom: -4.359
Symmetry: P2_1/m

Lattice parameters (Å, degrees): 5.106 8.769 11.149 109.13 90.00 90.00
Element x y z (fractional)
1 Ho 0.250 0.476 0.093
2 Ho 0.750 0.524 0.907
3 Ho 0.250 0.123 0.156
4 Ho 0.750 0.877 0.844
5 Ho 0.250 0.667 0.669
6 Ho 0.750 0.333 0.331
7 Ho 0.250 0.235 0.498
8 Ho 0.750 0.765 0.502
9 Ho 0.250 0.849 0.331
10 Ho 0.750 0.151 0.669
11 Ho 0.250 0.114 0.862
12 Ho 0.750 0.886 0.138
13 Zn 0.250 0.518 0.370
14 Zn 0.750 0.482 0.630
15 Zn 0.250 0.402 0.783
16 Zn 0.750 0.598 0.217
17 Zn 0.250 0.769 0.968
18 Zn 0.750 0.231 0.032
19 Tc 0.250 0.960 0.602
20 Tc 0.750 0.040 0.398


[6]
Below is a relaxed structure of Ba2ZrCoAg, with properties calculated at the GGA-PBE level.

Output
Density of states at the Fermi level, states/eV per cell: 5.6
Total moment, Bohr magnetons per cell: 2.1
Final energy, eV per atom: -3.244
Symmetry: P4/mmm

Lattice parameters (Å, degrees): 6.270 5.153 6.270 90.00 90.00 90.00
Each line ends with the local moment (μB).
Element x y z (fractional)
1 Zr 0.000 0.000 0.000  0.10
2 Co 0.500 0.500 0.500  2.05
3 Ba 0.000 0.000 0.500  -0.01
4 Ba 0.500 0.000 0.000  -0.02
5 Ag 0.000 0.500 0.000  0.01


Please write out number 4 again, unchanged.
Below is a relaxed structure of NaGaH4, with properties calculated at the GGA-PBE level.

Output
Density of states at the Fermi level, states/eV per cell: 0.0
Total moment, Bohr magnetons per cell: 0.0
Final energy, eV per atom: -3.079
Symmetry: Cmcm

Lattice parameters (Å, degrees): 4.694 4.694 7.042 90.00 90.00 95.36
Element x y z (fractional)
1 Na 0.344 0.344 0.250
2 Na 0.656 0.656 0.750
3 Ga 0.842 0.842 0.250
4 Ga 0.158 0.158 0.750
5 H 0.823 0.194 0.750
6 H 0.177 0.806 0.250
7 H 0.194 0.823 0.750
8 H 0.806 0.177 0.250
9 H 0.690 0.690 0.431
10 H 0.310 0.310 0.931
11 H 0.690 0.690 0.069
12 H 0.310 0.310 0.569


> Among the records above, which one has the highest final energy?

NaGaH4